Record 1
# NaZn3Se4O12 (GGA-PBE, optimized geometry)
# Calculated volume (Å³/atom): 14.56
# Size of the total moment (μB per formula unit): 0.30
# Formation energy from raw total energies (eV/atom): -0.622
data_NaZn3Se4O12
_chemical_formula_sum 'Na3 Zn9 Se12 O36'
_cell_length_a 11.2729
_cell_length_b 11.2729
_cell_length_c 7.9383
_cell_angle_alpha 90.00
_cell_angle_beta 90.00
_cell_angle_gamma 120.00
_space_group_name_H-M_alt 'R 3 2'
_space_group_IT_number 155
_space_group_name_Hall 'R 3 2"'
loop_
_atom_site_label
_atom_site_fract_x
_atom_site_fract_y
_atom_site_fract_z
_atom_site_occupancy
Na1 0.0000 0.0000 0.0000 1
Zn1 0.0000 0.5604 0.0000 1
Se1 0.0000 0.0000 0.5000 1
Se2 0.0000 0.4461 0.5000 1
O1 0.0000 0.6116 0.5000 1
O2 0.0000 0.8394 0.5000 1
O3 0.0487 0.2296 0.1823 1



Record 2
# Na2ZnSeO4 (GGA-PBE, optimized geometry)
# Calculated volume (Å³/atom): 14.74
# Size of the total moment (μB per formula unit): 0.00
# Formation energy from raw total energies (eV/atom): -1.152
data_Na2ZnSeO4
_chemical_formula_sum 'Na4 Zn2 Se2 O8'
_cell_length_a 5.343
_cell_length_b 5.343
_cell_length_c 8.260
_cell_angle_alpha 90.00
_cell_angle_beta 90.00
_cell_angle_gamma 90.00
_space_group_name_H-M_alt 'I -4'
_space_group_IT_number 82
loop_
_space_group_symop_operation_xyz
'x,y,z'
'y,-x,-z'
'-x,-y,z'
'-y,x,-z'
'x+1/2,y+1/2,z+1/2'
'y+1/2,-x+1/2,-z+1/2'
'-x+1/2,-y+1/2,z+1/2'
'-y+1/2,x+1/2,-z+1/2'
loop_
_atom_site_label
_atom_site_fract_x
_atom_site_fract_y
_atom_site_fract_z
_atom_site_occupancy
Na1 0.000 0.000 0.000 1
Na2 0.000 0.500 0.250 1
Zn1 0.000 0.000 0.500 1
Se1 0.000 0.500 0.750 1
O1 0.190 0.745 0.628 1